{
  "formula": "Rh2AuBr",
  "functional": "GGA-PBE",
  "state": "optimized geometry",
  "cell": [[5.414, -0.006, 0.007], [2.198, 4.948, -0.007], [-3.000, -3.713, 2.555]],
  "species": ["Rh", "Rh", "Au", "Br"],
  "fractional_positions": [[0.011, 0.011, 0.000], [0.489, 0.489, 0.000], [0.750, 0.250, 0.500], [0.250, 0.750, 0.500]],
  "relative_energy_mev_per_atom": 240.3,
  "magnetic_moment_mub_per_atom": 0.000,
  "raw_formation_energy_kcal_per_mol_atoms": 14.1
}